Record 1
# PrYPb2O8 | Alexandria via LeMat-Bulk | GGA-PBE | relaxed
# - symmetry = I-4, No. 82
# - energy relative to the elements, uncorrected (eV per formula unit) = -20.6
data_PrYPb2O8
_symmetry_space_group_name_H-M 'P 1'
_symmetry_Int_Tables_number 1
_symmetry_space_group_name_Hall 'P 1'
_cell_length_a 6.7202
_cell_length_b 6.7202
_cell_length_c 6.7202
_cell_angle_alpha 130.13
_cell_angle_beta 130.13
_cell_angle_gamma 73.19
loop_
_atom_site_label
_atom_site_type_symbol
_atom_site_fract_x
_atom_site_fract_y
_atom_site_fract_z
_atom_site_occupancy
Pr1 Pr 0.0000 0.0000 0.0000 1
Y1 Y 0.7500 0.2500 0.5000 1
Pb1 Pb 0.2500 0.7500 0.5000 1
Pb2 Pb 0.5000 0.5000 0.0000 1
O1 O 0.0919 0.6333 0.0358 1
O2 O 0.1421 0.2021 0.5453 1
O3 O 0.3667 0.4024 0.4586 1
O4 O 0.4032 0.8579 0.0600 1
O5 O 0.5976 0.0562 0.9642 1
O6 O 0.6568 0.5968 0.4547 1
O7 O 0.7979 0.3432 0.9400 1
O8 O 0.9438 0.9081 0.5414 1

***

Record 2
# LiAgSe2 | Alexandria via LeMat-Bulk | GGA-PBE | relaxed
# - symmetry = C2/m, No. 12
# - energy relative to the elements, uncorrected (eV per formula unit) = -1.7
# - energy above the most stable polymorph in this dataset (meV/atom) = 8
data_LiAgSe2
_symmetry_space_group_name_H-M 'P 1'
_symmetry_Int_Tables_number 1
_symmetry_space_group_name_Hall 'P 1'
_cell_length_a 4.5245
_cell_length_b 4.5245
_cell_length_c 6.6423
_cell_angle_alpha 116.51
_cell_angle_beta 116.51
_cell_angle_gamma 50.19
loop_
_atom_site_label
_atom_site_type_symbol
_atom_site_fract_x
_atom_site_fract_y
_atom_site_fract_z
_atom_site_occupancy
Li1 Li 0.0000 0.0000 0.0000 1
Ag1 Ag 0.0000 0.0000 0.5000 1
Se1 Se 0.3729 0.3729 0.2089 1
Se2 Se 0.6271 0.6271 0.7911 1

***

Record 3
# LiTe2Br | Alexandria via LeMat-Bulk | GGA-PBE | relaxed
# - symmetry = I-42d, No. 122
# - energy relative to the elements, uncorrected (eV per formula unit) = -2.2
# - energy above the most stable polymorph in this dataset (meV/atom) = 76
data_LiTe2Br
_symmetry_space_group_name_H-M 'P 1'
_symmetry_Int_Tables_number 1
_symmetry_space_group_name_Hall 'P 1'
_cell_length_a 17.6243
_cell_length_b 17.6243
_cell_length_c 17.6243
_cell_angle_alpha 166.45
_cell_angle_beta 166.45
_cell_angle_gamma 19.21
loop_
_atom_site_label
_atom_site_type_symbol
_atom_site_fract_x
_atom_site_fract_y
_atom_site_fract_z
_atom_site_occupancy
Li1 Li 0.0000 0.0000 0.0000 1
Li2 Li 0.7500 0.2500 0.5000 1
Te1 Te 0.1250 0.6250 0.0000 1
Te2 Te 0.3750 0.3750 0.5000 1
Te3 Te 0.6250 0.1250 0.0000 1
Te4 Te 0.8750 0.8750 0.5000 1
Br1 Br 0.2500 0.7500 0.5000 1
Br2 Br 0.5000 0.5000 0.0000 1

***

Record 4
# MgBi2F12 | Alexandria via LeMat-Bulk | GGA-PBE | relaxed
# - symmetry = P-4m2, No. 115
# - energy relative to the elements, uncorrected (eV per formula unit) = -30.0
data_MgBi2F12
_symmetry_space_group_name_H-M 'P 1'
_symmetry_Int_Tables_number 1
_symmetry_space_group_name_Hall 'P 1'
_cell_length_a 6.2499
_cell_length_b 6.2499
_cell_length_c 7.1175
_cell_angle_alpha 90.00
_cell_angle_beta 90.00
_cell_angle_gamma 90.00
loop_
_atom_site_label
_atom_site_type_symbol
_atom_site_fract_x
_atom_site_fract_y
_atom_site_fract_z
_atom_site_occupancy
Mg1 Mg 0.0000 0.0000 0.0000 1
Bi1 Bi 0.0000 0.5000 0.2155 1
Bi2 Bi 0.5000 0.0000 0.7845 1
F1 F 0.0000 0.5000 0.4978 1
F2 F 0.0000 0.5000 0.9321 1
F3 F 0.2021 0.2375 0.1910 1
F4 F 0.2021 0.7625 0.1910 1
F5 F 0.2375 0.2021 0.8090 1
F6 F 0.2375 0.7979 0.8090 1
F7 F 0.5000 0.0000 0.0679 1
F8 F 0.5000 0.0000 0.5022 1
F9 F 0.7625 0.2021 0.8090 1
F10 F 0.7625 0.7979 0.8090 1
F11 F 0.7979 0.2375 0.1910 1
F12 F 0.7979 0.7625 0.1910 1

***

Record 5
# SrCo2H8 | Alexandria via LeMat-Bulk | GGA-PBE | relaxed
# - symmetry = Cmm2, No. 35
# - calculated total energy (eV per atom) = -4.030
data_SrCo2H8
_symmetry_space_group_name_H-M 'P 1'
_symmetry_Int_Tables_number 1
_symmetry_space_group_name_Hall 'P 1'
_cell_length_a 4.7317
_cell_length_b 4.7317
_cell_length_c 3.8523
_cell_angle_alpha 90.00
_cell_angle_beta 90.00
_cell_angle_gamma 117.20
loop_
_atom_site_label
_atom_site_type_symbol
_atom_site_fract_x
_atom_site_fract_y
_atom_site_fract_z
_atom_site_occupancy
Sr1 Sr 0.0000 0.0000 0.0000 1
Co1 Co 0.3269 0.6731 0.4842 1
Co2 Co 0.6731 0.3269 0.4842 1
H1 H 0.0223 0.3305 0.5003 1
H2 H 0.3208 0.6792 0.0476 1
H3 H 0.3305 0.0223 0.5003 1
H4 H 0.5000 0.5000 0.2646 1
H5 H 0.5000 0.5000 0.7124 1
H6 H 0.6695 0.9777 0.5003 1
H7 H 0.6792 0.3208 0.0476 1
H8 H 0.9777 0.6695 0.5003 1

***

Record 6
# PmErCo10 | Alexandria via LeMat-Bulk | GGA-PBE | relaxed
# - symmetry = Pmmm, No. 47
# - E_form (kJ/mol of atoms) = -8.58
data_PmErCo10
_symmetry_space_group_name_H-M 'P 1'
_symmetry_Int_Tables_number 1
_symmetry_space_group_name_Hall 'P 1'
_cell_length_a 3.9459
_cell_length_b 4.9349
_cell_length_c 8.5813
_cell_angle_alpha 90.00
_cell_angle_beta 90.00
_cell_angle_gamma 90.00
loop_
_atom_site_label
_atom_site_type_symbol
_atom_site_fract_x
_atom_site_fract_y
_atom_site_fract_z
_atom_site_occupancy
Pm1 Pm 0.0000 0.0000 0.0000 1
Er1 Er 0.0000 0.5000 0.5000 1
Co1 Co 0.0000 0.0000 0.3383 1
Co2 Co 0.0000 0.0000 0.6617 1
Co3 Co 0.0000 0.5000 0.1746 1
Co4 Co 0.0000 0.5000 0.8254 1
Co5 Co 0.5000 0.0000 0.5000 1
Co6 Co 0.5000 0.2526 0.2540 1
Co7 Co 0.5000 0.2526 0.7460 1
Co8 Co 0.5000 0.5000 0.0000 1
Co9 Co 0.5000 0.7474 0.2540 1
Co10 Co 0.5000 0.7474 0.7460 1

***

Record 7
# AlFeCo2C | Alexandria via LeMat-Bulk | GGA-PBE | relaxed
# - symmetry = P4/mmm, No. 123
# - E_form (kJ/mol of atoms) = -19.41
data_AlFeCo2C
_symmetry_space_group_name_H-M 'P 1'
_symmetry_Int_Tables_number 1
_symmetry_space_group_name_Hall 'P 1'
_cell_length_a 3.7228
_cell_length_b 3.7228
_cell_length_c 3.7393
_cell_angle_alpha 90.00
_cell_angle_beta 90.00
_cell_angle_gamma 90.00
loop_
_atom_site_label
_atom_site_type_symbol
_atom_site_fract_x
_atom_site_fract_y
_atom_site_fract_z
_atom_site_occupancy
Al1 Al 0.0000 0.0000 0.0000 1
Fe1 Fe 0.5000 0.5000 0.0000 1
Co1 Co 0.0000 0.5000 0.5000 1
Co2 Co 0.5000 0.0000 0.5000 1
C1 C 0.5000 0.5000 0.5000 1

***

Record 8
# Y4MgTl | Alexandria via LeMat-Bulk | GGA-PBE | relaxed
# - symmetry = R-3m, No. 166
# - E_form (kJ/mol of atoms) = 15.24
# - energy above the most stable polymorph in this dataset (meV/atom) = 0
data_Y4MgTl
_symmetry_space_group_name_H-M 'P 1'
_symmetry_Int_Tables_number 1
_symmetry_space_group_name_Hall 'P 1'
_cell_length_a 9.1012
_cell_length_b 9.1012
_cell_length_c 9.1012
_cell_angle_alpha 33.10
_cell_angle_beta 33.10
_cell_angle_gamma 33.10
loop_
_atom_site_label
_atom_site_type_symbol
_atom_site_fract_x
_atom_site_fract_y
_atom_site_fract_z
_atom_site_occupancy
Y1 Y 0.1242 0.1242 0.1242 1
Y2 Y 0.3751 0.3751 0.3751 1
Y3 Y 0.6249 0.6249 0.6249 1
Y4 Y 0.8758 0.8758 0.8758 1
Mg1 Mg 0.0000 0.0000 0.0000 1
Tl1 Tl 0.5000 0.5000 0.5000 1

***

| no. | size of the total moment (μB per formula unit) |
| --- | --- |
| 1 | 2.03 |
| 2 | 0.00 |
| 3 | 0.00 |
| 4 | 0.00 |
| 5 | 0.00 |
| 6 | 14.27 |
| 7 | 1.02 |
| 8 | 0.00 |